Entry 1:
PBE-GGA Ho3Zn2Pd2, optimized geometry; ΔE_f = -0.598 eV/atom; M_tot = 0.0 μB per cell
1.0
3.842 0.000 0.510
0.000 3.627 0.000
0.497 0.000 10.983
Ho Zn Pd
3 2 2
direct
0.838 0.000 0.324 Ho
0.162 0.000 0.676 Ho
0.000 0.000 0.000 Ho
0.421 0.500 0.158 Zn
0.579 0.500 0.842 Zn
0.293 0.500 0.413 Pd
0.707 0.500 0.587 Pd



Entry 2:
PBE-GGA Ho4ZnPd3, optimized geometry; ΔE_f = -0.785 eV/atom; M_tot = 0.0 μB per cell
1.0
3.712 0.000 0.000
0.000 4.538 0.000
0.000 0.000 10.632
Ho Zn Pd
4 1 3
direct
0.000 0.000 0.141 Ho
0.500 0.000 0.637 Ho
0.500 0.500 0.366 Ho
0.000 0.500 0.854 Ho
0.500 0.500 0.078 Zn
0.000 0.000 0.414 Pd
0.500 0.000 0.923 Pd
0.000 0.500 0.586 Pd



Entry 3:
PBE-GGA HoZnPd4, optimized geometry; ΔE_f = -0.636 eV/atom; M_tot = 0.0 μB per cell
1.0
3.736 0.000 0.000
1.868 6.221 -0.962
1.868 -1.373 4.540
Zn Ho Pd
1 1 4
direct
0.000 0.000 0.000 Zn
0.500 0.500 0.500 Ho
0.352 0.313 0.983 Pd
0.186 0.155 0.472 Pd
0.814 0.845 0.528 Pd
0.648 0.687 0.017 Pd



Entry 4:
PBE-GGA Ho8ZnPd2, optimized geometry; ΔE_f = -0.257 eV/atom; M_tot = 0.0 μB per cell; relative energy among the computed polymorphs = 125 meV per atom
1.0
5.499 0.066 -0.917
-1.878 7.014 -3.152
0.054 -0.283 7.910
Ho Zn Pd
8 1 2
direct
0.582 0.088 0.337 Ho
0.582 0.337 0.088 Ho
0.805 0.628 0.628 Ho
0.993 0.227 0.772 Ho
0.993 0.772 0.227 Ho
0.182 0.385 0.385 Ho
0.390 0.917 0.667 Ho
0.390 0.667 0.917 Ho
0.087 0.002 0.002 Zn
0.497 0.702 0.308 Pd
0.497 0.308 0.702 Pd



Entry 5:
PBE-GGA Ho2Zn12Pd5, optimized geometry; ΔE_f = -0.415 eV/atom; M_tot = 0.0 μB per cell
1.0
-6.670 1.389 -0.492
-0.915 -2.778 -6.173
-2.219 -6.072 2.205
Zn Pd Ho
12 5 2
direct
0.707 0.000 0.293 Zn
0.293 0.000 0.707 Zn
0.351 0.844 0.351 Zn
0.649 0.156 0.649 Zn
0.000 0.707 0.293 Zn
0.293 0.707 0.000 Zn
0.000 0.293 0.707 Zn
0.156 0.649 0.649 Zn
0.707 0.293 0.000 Zn
0.649 0.649 0.156 Zn
0.351 0.351 0.844 Zn
0.844 0.351 0.351 Zn
0.000 0.000 0.500 Pd
0.500 0.000 0.000 Pd
0.104 0.104 0.104 Pd
0.896 0.896 0.896 Pd
0.000 0.500 0.000 Pd
0.323 0.323 0.323 Ho
0.677 0.677 0.677 Ho



Entry 6:
PBE-GGA Ho3Zn2Pd, optimized geometry; ΔE_f = -0.541 eV/atom; M_tot = 0.0 μB per cell; relative energy among the computed polymorphs = 7 meV per atom
1.0
-4.003 2.946 -0.422
-0.044 -3.824 3.202
2.220 3.644 4.382
Zn Ho Pd
2 3 1
direct
0.667 0.333 0.350 Zn
0.333 0.667 0.650 Zn
0.333 0.667 0.159 Ho
0.667 0.333 0.841 Ho
0.000 0.000 0.500 Ho
0.000 0.000 0.000 Pd



Entry 7:
PBE-GGA HoZn4Pd7, optimized geometry; ΔE_f = -0.358 eV/atom; M_tot = 0.0 μB per cell
1.0
-3.354 0.649 3.420
-2.405 -7.106 2.406
2.311 -0.140 5.709
Pd Zn Ho
7 4 1
direct
0.064 0.644 0.227 Pd
0.656 0.426 0.262 Pd
0.779 0.893 0.548 Pd
0.500 0.000 0.000 Pd
0.221 0.107 0.452 Pd
0.936 0.356 0.773 Pd
0.344 0.574 0.738 Pd
0.570 0.227 0.632 Zn
0.710 0.668 0.912 Zn
0.430 0.773 0.368 Zn
0.290 0.332 0.088 Zn
0.000 0.000 0.000 Ho



Entry 8:
PBE-GGA Ho2Zn2Pd, optimized geometry; ΔE_f = -0.548 eV/atom; M_tot = 0.0 μB per cell; relative energy among the computed polymorphs = 0 meV per atom
1.0
-0.186 -1.269 -4.043
-2.869 -4.662 -0.630
-7.818 5.339 -3.542
Zn Ho Pd
4 4 2
direct
0.909 0.737 0.446 Zn
0.368 0.154 0.110 Zn
0.632 0.846 0.890 Zn
0.091 0.263 0.554 Zn
0.324 0.686 0.666 Ho
0.077 0.729 0.116 Ho
0.676 0.314 0.334 Ho
0.923 0.271 0.884 Ho
0.611 0.105 0.673 Pd
0.389 0.895 0.327 Pd



Entry 9:
PBE-GGA HoZn6Pd12, optimized geometry; ΔE_f = -0.265 eV/atom; M_tot = 0.0 μB per cell
1.0
6.941 -0.093 -0.111
-1.144 6.847 -0.111
-1.144 -1.333 6.717
Pd Ho Zn
12 1 6
direct
0.416 0.392 0.817 Pd
0.584 0.608 0.183 Pd
0.003 0.209 0.686 Pd
0.791 0.314 0.997 Pd
0.817 0.416 0.392 Pd
0.997 0.791 0.314 Pd
0.209 0.686 0.003 Pd
0.183 0.584 0.608 Pd
0.686 0.003 0.209 Pd
0.608 0.183 0.584 Pd
0.314 0.997 0.791 Pd
0.392 0.817 0.416 Pd
0.000 0.000 0.000 Ho
0.447 0.233 0.158 Zn
0.158 0.447 0.233 Zn
0.233 0.158 0.447 Zn
0.553 0.767 0.842 Zn
0.842 0.553 0.767 Zn
0.767 0.842 0.553 Zn



Entry 10:
PBE-GGA Ho2ZnPd9, optimized geometry; ΔE_f = -0.684 eV/atom; M_tot = 0.0 μB per cell
1.0
-1.119 -3.779 1.035
3.884 -1.213 -0.231
1.537 2.718 11.585
Pd Ho Zn
9 2 1
direct
0.500 0.000 0.154 Pd
0.500 0.500 0.328 Pd
0.500 0.000 0.846 Pd
0.500 0.500 0.000 Pd
0.000 0.500 0.846 Pd
0.500 0.500 0.672 Pd
0.500 0.000 0.500 Pd
0.000 0.500 0.154 Pd
0.000 0.500 0.500 Pd
0.000 0.000 0.675 Ho
0.000 0.000 0.325 Ho
0.000 0.000 0.000 Zn



Entry 11:
PBE-GGA HoZn3Pd3, optimized geometry; ΔE_f = -0.540 eV/atom; M_tot = 0.0 μB per cell; relative energy among the computed polymorphs = 0 meV per atom
1.0
-2.766 5.899 1.626
-2.995 3.719 -4.721
-7.352 0.333 0.151
Pd Zn Ho
6 6 2
direct
0.696 0.931 0.193 Pd
0.820 0.304 0.807 Pd
0.180 0.696 0.193 Pd
0.069 0.820 0.807 Pd
0.304 0.069 0.807 Pd
0.931 0.180 0.193 Pd
0.738 0.088 0.611 Zn
0.262 0.912 0.389 Zn
0.437 0.262 0.389 Zn
0.912 0.437 0.389 Zn
0.563 0.738 0.611 Zn
0.088 0.563 0.611 Zn
0.660 0.660 0.021 Ho
0.340 0.340 0.979 Ho



Entry 12:
PBE-GGA Ho3Zn9Pd2, optimized geometry; ΔE_f = -0.459 eV/atom; M_tot = 0.0 μB per cell
1.0
-3.294 -1.075 -2.555
-6.615 0.309 4.771
-4.394 6.827 -0.836
Pd Ho Zn
2 3 9
direct
0.500 0.694 0.306 Pd
0.500 0.306 0.694 Pd
0.695 0.305 0.305 Ho
0.000 0.000 0.000 Ho
0.305 0.695 0.695 Ho
0.131 0.589 0.150 Zn
0.668 0.691 0.973 Zn
0.668 0.973 0.691 Zn
0.869 0.850 0.411 Zn
0.000 0.500 0.500 Zn
0.131 0.150 0.589 Zn
0.869 0.411 0.850 Zn
0.332 0.309 0.027 Zn
0.332 0.027 0.309 Zn



What is the ΔE_f in the fifth record? -0.415 eV/atom



Look up the ΔE_f of the fourth one. -0.257 eV/atom



Look up the ΔE_f of the seventh one. -0.358 eV/atom